An optimized crystal structure of Ac8CdPt6. Source: the Alexandria database, functional PBE.

a b c (Å): 11.6358 11.6358 4.5348
angles (deg): 90.00 90.00 120.00
Space group P-3 (No. 147)
Asymmetric unit:
Ac 0.0307 0.3539 0.2452 [6 per cell]
Ac 0.3333 0.6667 0.7503 [2 per cell]
Cd 0.0000 0.0000 0.0000 [1 per cell]
Pt 0.1488 0.6635 0.2524 [6 per cell]

Properties
As for the total energy: -5.58 eV per atom. The calculation puts the energy of formation from the pure elements at -87.6 kJ/mol of atoms.


An optimized crystal structure of Ac3CdPt. Source: the Alexandria database, functional PBE.

a b c (Å): 13.2595 6.0624 9.8373
angles (deg): 90.00 113.45 90.00
Space group C2/m (No. 12)
Asymmetric unit:
Ac 0.1122 0.0000 0.2361 [4 per cell]
Ac 0.1215 0.5000 0.9039 [4 per cell]
Ac 0.1585 0.0000 0.6432 [4 per cell]
Cd 0.1033 0.5000 0.4594 [4 per cell]
Pt 0.1315 0.0000 0.9358 [4 per cell]

Properties
For the energy above the most stable polymorph in this dataset, the calculation gives 0.000 eV per atom. As for the total energy: -4.42 eV per atom. The calculation puts the energy of formation from the pure elements at -54.0 kJ/mol of atoms.


An optimized crystal structure of Ac8CdPt4. Source: the Alexandria database, functional PBE.

a b c (Å): 19.5229 4.4625 14.0720
angles (deg): 90.00 131.34 90.00
Space group Cm (No. 8)
Asymmetric unit:
Ac 0.0000 0.0000 0.0000 [2 per cell]
Ac 0.0036 0.0000 0.5668 [2 per cell]
Ac 0.0752 0.0000 0.3468 [2 per cell]
Ac 0.1423 0.5000 0.9199 [2 per cell]
Ac 0.2189 0.5000 0.2965 [2 per cell]
Ac 0.2859 0.0000 0.8694 [2 per cell]
Ac 0.3575 0.0000 0.6495 [2 per cell]
Ac 0.3610 0.0000 0.2162 [2 per cell]
Cd 0.1809 0.5000 0.6082 [2 per cell]
Pt 0.0021 0.5000 0.1515 [2 per cell]
Pt 0.0028 0.0000 0.7827 [2 per cell]
Pt 0.3584 0.0000 0.4337 [2 per cell]
Pt 0.3590 0.5000 0.0648 [2 per cell]

Properties
As for the total energy: -5.21 eV per atom. The calculation puts the energy of formation from the pure elements at -72.8 kJ/mol of atoms.


An optimized crystal structure of Ac7Cd2Pt2. Source: the Alexandria database, functional PBE.

a b c (Å): 8.7314 12.2337 7.7654
angles (deg): 90.00 90.00 90.00
Space group Cmmm (No. 65)
Asymmetric unit:
Ac 0.0000 0.0000 0.0000 [2 per cell]
Ac 0.0000 0.5000 0.2477 [4 per cell]
Ac 0.2500 0.2500 0.2559 [8 per cell]
Cd 0.1653 0.0000 0.5000 [4 per cell]
Pt 0.0000 0.2923 0.0000 [4 per cell]

Properties
For the energy above the most stable polymorph in this dataset, the calculation gives 0.068 eV per atom. As for the total energy: -4.32 eV per atom. The calculation puts the energy of formation from the pure elements at -42.9 kJ/mol of atoms.


An optimized crystal structure of Ac3CdPt. Source: the Alexandria database, functional PBE.

a b c (Å): 10.1278 7.4295 10.8207
angles (deg): 90.00 114.25 90.00
Space group P2_1/c (No. 14)
Asymmetric unit:
Ac 0.0989 0.0691 0.3639 [4 per cell]
Ac 0.2126 0.5826 0.5584 [4 per cell]
Ac 0.3760 0.0785 0.7663 [4 per cell]
Cd 0.4356 0.6698 0.9348 [4 per cell]
Pt 0.0805 0.2439 0.6092 [4 per cell]

Properties
For the energy above the most stable polymorph in this dataset, the calculation gives 0.008 eV per atom. As for the total energy: -4.41 eV per atom. The calculation puts the energy of formation from the pure elements at -53.3 kJ/mol of atoms.


An optimized crystal structure of Ac3CdPt. Source: the Alexandria database, functional PBE.

a b c (Å): 5.9070 5.9070 5.9070
angles (deg): 90.00 90.00 90.00
Space group Pm-3m (No. 221)
Asymmetric unit:
Ac 0.0000 0.0000 0.5000 [3 per cell]
Cd 0.5000 0.5000 0.5000 [1 per cell]
Pt 0.0000 0.0000 0.0000 [1 per cell]

Properties
For the energy above the most stable polymorph in this dataset, the calculation gives 0.177 eV per atom. As for the total energy: -4.24 eV per atom. The calculation puts the energy of formation from the pure elements at -37.0 kJ/mol of atoms.


An optimized crystal structure of Ac2PuCdPt6. Source: the Alexandria database, functional PBE.

a b c (Å): 10.1567 10.1567 10.1567
angles (deg): 90.00 90.00 90.00
Space group Fm-3m (No. 225)
Asymmetric unit:
Ac 0.2500 0.2500 0.2500 [8 per cell]
Pu 0.0000 0.0000 0.0000 [4 per cell]
Cd 0.0000 0.0000 0.5000 [4 per cell]
Pt 0.0000 0.0000 0.2481 [24 per cell]

Properties
As for the total energy: -6.18 eV per atom. The calculation puts the energy of formation from the pure elements at -20.1 kJ/mol of atoms.


An optimized crystal structure of Ac2CdSbPt6. Source: the Alexandria database, functional PBE.

a b c (Å): 10.0359 10.0359 10.0359
angles (deg): 90.00 90.00 90.00
Space group Fm-3m (No. 225)
Asymmetric unit:
Ac 0.2500 0.2500 0.2500 [8 per cell]
Cd 0.0000 0.0000 0.0000 [4 per cell]
Sb 0.0000 0.0000 0.5000 [4 per cell]
Pt 0.0000 0.0000 0.2527 [24 per cell]

Properties
As for the total energy: -5.19 eV per atom.


An optimized crystal structure of Ac2CdSb4Pt3. Source: the Alexandria database, functional PBE.

a b c (Å): 4.8454 4.8454 10.6802
angles (deg): 90.00 90.00 90.00
Space group P-4m2 (No. 115)
Asymmetric unit:
Ac 0.0000 0.5000 0.2497 [2 per cell]
Cd 0.0000 0.0000 0.5000 [1 per cell]
Sb 0.0000 0.0000 0.0000 [1 per cell]
Sb 0.0000 0.5000 0.6365 [2 per cell]
Sb 0.5000 0.5000 0.0000 [1 per cell]
Pt 0.0000 0.5000 0.8846 [2 per cell]
Pt 0.5000 0.5000 0.5000 [1 per cell]

Properties
As for the total energy: -5.14 eV per atom.


An optimized crystal structure of AcCd2SbPt2. Source: the Alexandria database, functional PBE.

a b c (Å): 5.3425 5.3425 11.3525
angles (deg): 90.00 90.00 90.00
Space group I4/mmm (No. 139)
Asymmetric unit:
Ac 0.0000 0.0000 0.0000 [2 per cell]
Cd 0.0000 0.5000 0.2500 [4 per cell]
Sb 0.0000 0.0000 0.5000 [2 per cell]
Pt 0.0000 0.0000 0.2677 [4 per cell]

Properties
As for the total energy: -4.11 eV per atom.


An optimized crystal structure of Ac2ScCdPt6. Source: the Alexandria database, functional PBE.

a b c (Å): 9.9728 9.9728 9.9728
angles (deg): 90.00 90.00 90.00
Space group Fm-3m (No. 225)
Asymmetric unit:
Ac 0.2500 0.2500 0.2500 [8 per cell]
Sc 0.0000 0.0000 0.0000 [4 per cell]
Cd 0.0000 0.0000 0.5000 [4 per cell]
Pt 0.0000 0.0000 0.2446 [24 per cell]

Properties
As for the total energy: -5.46 eV per atom. The calculation puts the energy of formation from the pure elements at -27.9 kJ/mol of atoms.


An optimized crystal structure of Ac2CdSi4Pt3. Source: the Alexandria database, functional PBE.

a b c (Å): 4.4056 4.4056 10.3178
angles (deg): 90.00 90.00 90.00
Space group P-4m2 (No. 115)
Asymmetric unit:
Ac 0.0000 0.5000 0.2428 [2 per cell]
Cd 0.0000 0.0000 0.5000 [1 per cell]
Si 0.0000 0.0000 0.0000 [1 per cell]
Si 0.0000 0.5000 0.6454 [2 per cell]
Si 0.5000 0.5000 0.0000 [1 per cell]
Pt 0.0000 0.5000 0.8879 [2 per cell]
Pt 0.5000 0.5000 0.5000 [1 per cell]

Properties
As for the total energy: -5.78 eV per atom.